Entry 1:
Sn5Hg12Pb3: relaxed, PBE.

Calculated values
The formation energy comes out at 0.16 eV per atom.

POSCAR file:
```
Sn5Hg12Pb3
1.0
14.986 0.000 0.000
-4.995 14.129 0.000
-4.995 -7.065 12.236
Hg Pb Sn
48 12 20
direct
0.728 0.596 0.171 Hg
0.904 0.829 0.772 Hg
0.443 0.772 0.868 Hg
0.075 0.171 0.443 Hg
0.075 0.904 0.132 Hg
0.171 0.096 0.728 Hg
0.228 0.557 0.632 Hg
0.329 0.772 0.404 Hg
0.132 0.404 0.075 Hg
0.171 0.075 0.943 Hg
0.671 0.443 0.575 Hg
0.596 0.728 0.671 Hg
0.728 0.132 0.057 Hg
0.057 0.632 0.728 Hg
0.575 0.632 0.404 Hg
0.925 0.829 0.557 Hg
0.425 0.057 0.329 Hg
0.943 0.368 0.272 Hg
0.132 0.728 0.557 Hg
0.096 0.925 0.368 Hg
0.671 0.228 0.596 Hg
0.096 0.171 0.228 Hg
0.575 0.943 0.671 Hg
0.829 0.904 0.272 Hg
0.772 0.443 0.368 Hg
0.632 0.057 0.228 Hg
0.272 0.404 0.829 Hg
0.404 0.272 0.329 Hg
0.829 0.925 0.057 Hg
0.557 0.228 0.132 Hg
0.904 0.075 0.632 Hg
0.596 0.868 0.425 Hg
0.329 0.557 0.425 Hg
0.772 0.329 0.904 Hg
0.404 0.132 0.575 Hg
0.272 0.868 0.943 Hg
0.868 0.272 0.443 Hg
0.868 0.596 0.925 Hg
0.368 0.943 0.772 Hg
0.557 0.329 0.925 Hg
0.443 0.671 0.075 Hg
0.632 0.575 0.904 Hg
0.228 0.671 0.096 Hg
0.943 0.575 0.171 Hg
0.925 0.096 0.868 Hg
0.425 0.368 0.596 Hg
0.057 0.425 0.829 Hg
0.368 0.425 0.096 Hg
0.375 0.625 0.250 Pb
0.250 0.125 0.375 Pb
0.875 0.125 0.250 Pb
0.625 0.375 0.750 Pb
0.250 0.625 0.875 Pb
0.625 0.250 0.375 Pb
0.125 0.250 0.875 Pb
0.750 0.375 0.125 Pb
0.125 0.875 0.750 Pb
0.375 0.750 0.625 Pb
0.750 0.875 0.625 Pb
0.875 0.750 0.125 Pb
0.500 0.500 0.000 Sn
0.750 0.125 0.875 Sn
0.625 0.875 0.250 Sn
0.500 0.500 0.500 Sn
0.125 0.750 0.375 Sn
0.375 0.250 0.125 Sn
0.000 0.000 0.500 Sn
0.500 0.000 0.000 Sn
0.125 0.375 0.250 Sn
0.000 0.000 0.000 Sn
0.875 0.625 0.750 Sn
0.500 0.000 0.500 Sn
0.000 0.500 0.000 Sn
0.750 0.625 0.375 Sn
0.000 0.500 0.500 Sn
0.875 0.250 0.625 Sn
0.625 0.750 0.875 Sn
0.250 0.375 0.625 Sn
0.250 0.875 0.125 Sn
0.375 0.125 0.750 Sn
```


Entry 2:
YMoSe: relaxed, PBE.

Calculated values
The raw formation energy comes out at 3.6 meV per atom. Its energy above the lowest structure with this stoichiometry is 0.305 eV/atom.

POSCAR file:
```
YMoSe
1.0
4.520 0.000 0.000
2.260 3.915 0.000
2.260 1.305 3.691
Y Mo Se
1 1 1
direct
0.000 0.000 0.000 Y
0.500 0.500 0.500 Mo
0.750 0.750 0.750 Se
```


Entry 3:
TlInAgBr6: relaxed, PBE.

Calculated values
The raw formation energy comes out at -608.7 meV per atom.

POSCAR file:
```
TlInAgBr6
1.0
7.440 -0.003 0.274
3.721 5.953 0.138
0.271 0.002 7.148
Br Tl In Ag
6 1 1 1
direct
0.376 0.998 0.723 Br
0.013 0.628 0.742 Br
0.358 0.629 0.258 Br
0.626 0.359 0.699 Br
0.626 0.998 0.277 Br
0.015 0.359 0.301 Br
0.996 0.008 0.000 Tl
0.323 0.354 0.500 In
0.667 0.667 0.500 Ag
```